Entry from Alexandria via LeMat-Bulk: InGeSbI2 after structural relaxation (PBE).

Values from the calculation:
ΔE_f (raw) = 0.1578 eV/atom
Total energy = -0.1014 hartree per atom
Crystal system = tetragonal
Total magnetization = 1.6 Bohr magnetons per cell

Lattice parameters (Å, degrees): 5.8806 5.8806 5.6132 90.00 90.00 90.00
Element x y z (fractional)
In 0.0000 0.0000 0.0000
Ge 0.5000 0.5000 0.5000
Sb 0.5000 0.5000 0.0000
I 0.0000 0.5000 0.5000
I 0.5000 0.0000 0.5000



Entry from Alexandria via LeMat-Bulk: InGeSbI2 after structural relaxation (PBE).

Values from the calculation:
ΔE_f (raw) = 0.5578 eV/atom
Total energy = -0.0867 hartree per atom
Crystal system = tetragonal
Total magnetization = 0.1 Bohr magnetons per cell

Lattice parameters (Å, degrees): 5.8133 5.8133 5.8280 90.00 90.00 90.00
Element x y z (fractional)
In 0.0000 0.0000 0.0000
Ge 0.5000 0.5000 0.5000
Sb 0.0000 0.0000 0.5000
I 0.0000 0.5000 0.0000
I 0.5000 0.0000 0.0000



Entry from Alexandria via LeMat-Bulk: InSnGe2I after structural relaxation (PBE).

Values from the calculation:
ΔE_f (raw) = 0.5376 eV/atom
Total energy = -0.1091 hartree per atom
Crystal system = tetragonal
Total magnetization = 0.0 Bohr magnetons per cell

Lattice parameters (Å, degrees): 5.3167 5.3167 6.4964 90.00 90.00 90.00
Element x y z (fractional)
In 0.0000 0.0000 0.0000
Sn 0.0000 0.0000 0.5000
Ge 0.0000 0.5000 0.5000
Ge 0.5000 0.0000 0.5000
I 0.5000 0.5000 0.0000



Entry from Alexandria via LeMat-Bulk: Tl2InGeI5 after structural relaxation (PBE).

Values from the calculation:
ΔE_f (raw) = -0.4205 eV/atom
Total energy = -0.0965 hartree per atom
Crystal system = tetragonal
Total magnetization = 0.0 Bohr magnetons per cell

Lattice parameters (Å, degrees): 5.7341 5.7341 12.4745 90.00 90.00 90.00
Element x y z (fractional)
Tl 0.0000 0.0000 0.2155
Tl 0.0000 0.0000 0.7845
In 0.5000 0.5000 0.5000
Ge 0.5000 0.5000 0.0000
I 0.0000 0.0000 0.5000
I 0.0000 0.5000 0.0000
I 0.5000 0.0000 0.0000
I 0.5000 0.5000 0.2409
I 0.5000 0.5000 0.7591



Entry from Alexandria via LeMat-Bulk: TlInGe2I8 after structural relaxation (PBE).

Values from the calculation:
ΔE_f (raw) = -0.3618 eV/atom
Total energy = -0.0952 hartree per atom
Crystal system = triclinic
Total magnetization = 0.0 Bohr magnetons per cell

Lattice parameters (Å, degrees): 7.0970 8.2290 9.6427 97.92 91.85 96.14
Element x y z (fractional)
Tl 0.0000 0.0000 0.0000
In 0.0000 0.0000 0.5000
Ge 0.4556 0.5982 0.2316
Ge 0.5444 0.4018 0.7684
I 0.1840 0.6886 0.4253
I 0.2214 0.1794 0.3182
I 0.2778 0.6504 0.9921
I 0.3085 0.1017 0.7420
I 0.6915 0.8983 0.2580
I 0.7222 0.3496 0.0079
I 0.7786 0.8206 0.6818
I 0.8160 0.3114 0.5747



Entry from Alexandria via LeMat-Bulk: VIn2GeI after structural relaxation (PBE).

Values from the calculation:
ΔE_f (raw) = 0.3575 eV/atom
Total energy = -0.1395 hartree per atom
Crystal system = tetragonal
Total magnetization = 0.0 Bohr magnetons per cell

Lattice parameters (Å, degrees): 5.5624 5.5624 4.7308 90.00 90.00 90.00
Element x y z (fractional)
V 0.0000 0.0000 0.0000
In 0.0000 0.5000 0.0000
In 0.5000 0.0000 0.0000
Ge 0.0000 0.0000 0.5000
I 0.5000 0.5000 0.5000



Entry from Alexandria via LeMat-Bulk: Ge2IrI after structural relaxation (PBE).

Values from the calculation:
ΔE_f (raw) = 0.8318 eV/atom
Total energy = -0.1499 hartree per atom
Crystal system = cubic
Total magnetization = 0.0 Bohr magnetons per cell

Lattice parameters (Å, degrees): 6.8798 6.8798 6.8798 90.00 90.00 90.00
Element x y z (fractional)
Ge 0.2500 0.2500 0.2500
Ge 0.2500 0.2500 0.7500
Ge 0.2500 0.7500 0.2500
Ge 0.2500 0.7500 0.7500
Ge 0.7500 0.2500 0.2500
Ge 0.7500 0.2500 0.7500
Ge 0.7500 0.7500 0.2500
Ge 0.7500 0.7500 0.7500
Ir 0.0000 0.0000 0.0000
Ir 0.0000 0.5000 0.5000
Ir 0.5000 0.0000 0.5000
Ir 0.5000 0.5000 0.0000
I 0.0000 0.0000 0.5000
I 0.0000 0.5000 0.0000
I 0.5000 0.0000 0.0000
I 0.5000 0.5000 0.5000



Entry from Alexandria via LeMat-Bulk: GeIrI2 after structural relaxation (PBE).

Values from the calculation:
ΔE_f (raw) = 0.7386 eV/atom
Total energy = -0.1252 hartree per atom
Crystal system = tetragonal
Total magnetization = 0.0 Bohr magnetons per cell

Lattice parameters (Å, degrees): 6.6071 6.6071 12.1714 90.00 90.00 90.00
Element x y z (fractional)
Ge 0.0000 0.0000 0.0000
Ge 0.0000 0.5000 0.2500
Ge 0.5000 0.0000 0.7500
Ge 0.5000 0.5000 0.5000
Ir 0.0000 0.0000 0.5000
Ir 0.0000 0.5000 0.7500
Ir 0.5000 0.0000 0.2500
Ir 0.5000 0.5000 0.0000
I 0.1986 0.2500 0.6250
I 0.2500 0.6986 0.8750
I 0.2500 0.8014 0.3750
I 0.3014 0.2500 0.1250
I 0.6986 0.7500 0.1250
I 0.7500 0.1986 0.3750
I 0.7500 0.3014 0.8750
I 0.8014 0.7500 0.6250



Entry from Alexandria via LeMat-Bulk: Ge2IrI after structural relaxation (PBE).

Values from the calculation:
ΔE_f (raw) = 0.1497 eV/atom
Total energy = -0.1750 hartree per atom
Crystal system = tetragonal
Total magnetization = 0.0 Bohr magnetons per cell

Lattice parameters (Å, degrees): 6.3984 6.3984 11.6381 90.00 90.00 90.00
Element x y z (fractional)
Ge 0.1467 0.2500 0.1250
Ge 0.2500 0.6467 0.3750
Ge 0.2500 0.8533 0.8750
Ge 0.3533 0.2500 0.6250
Ge 0.6467 0.7500 0.6250
Ge 0.7500 0.1467 0.8750
Ge 0.7500 0.3533 0.3750
Ge 0.8533 0.7500 0.1250
Ir 0.0000 0.0000 0.0000
Ir 0.0000 0.5000 0.2500
Ir 0.5000 0.0000 0.7500
Ir 0.5000 0.5000 0.5000
I 0.0000 0.0000 0.5000
I 0.0000 0.5000 0.7500
I 0.5000 0.0000 0.2500
I 0.5000 0.5000 0.0000



Entry from Alexandria via LeMat-Bulk: GeIrI2 after structural relaxation (PBE).

Values from the calculation:
ΔE_f (raw) = 0.9615 eV/atom
Total energy = -0.1170 hartree per atom
Crystal system = cubic
Total magnetization = 4.0 Bohr magnetons per cell

Lattice parameters (Å, degrees): 7.1939 7.1939 7.1939 90.00 90.00 90.00
Element x y z (fractional)
Ge 0.0000 0.0000 0.0000
Ge 0.0000 0.5000 0.5000
Ge 0.5000 0.0000 0.5000
Ge 0.5000 0.5000 0.0000
Ir 0.0000 0.0000 0.5000
Ir 0.0000 0.5000 0.0000
Ir 0.5000 0.0000 0.0000
Ir 0.5000 0.5000 0.5000
I 0.2500 0.2500 0.2500
I 0.2500 0.2500 0.7500
I 0.2500 0.7500 0.2500
I 0.2500 0.7500 0.7500
I 0.7500 0.2500 0.2500
I 0.7500 0.2500 0.7500
I 0.7500 0.7500 0.2500
I 0.7500 0.7500 0.7500



Entry from Alexandria via LeMat-Bulk: KGeIr2I after structural relaxation (PBE).

Values from the calculation:
ΔE_f (raw) = 2.4350 eV/atom
Total energy = -0.0942 hartree per atom
Crystal system = tetragonal
Total magnetization = 1.4 Bohr magnetons per cell

Lattice parameters (Å, degrees): 4.8765 4.8765 5.8816 90.00 90.00 90.00
Element x y z (fractional)
K 0.0000 0.0000 0.0000
Ge 0.5000 0.5000 0.5000
Ir 0.0000 0.5000 0.0000
Ir 0.5000 0.0000 0.0000
I 0.0000 0.0000 0.5000



Entry from Alexandria via LeMat-Bulk: La4GeIrI2 after structural relaxation (PBE).

Values from the calculation:
ΔE_f (raw) = -1.0548 eV/atom
Total energy = -0.2055 hartree per atom
Crystal system = monoclinic
Total magnetization = 0.0 Bohr magnetons per cell

Lattice parameters (Å, degrees): 7.7586 4.3244 8.3533 90.00 106.41 90.00
Element x y z (fractional)
La 0.2183 0.0000 0.1898
La 0.2500 0.5000 0.8090
La 0.7500 0.5000 0.1910
La 0.7817 0.0000 0.8102
Ge 0.5000 0.0000 0.0000
Ir 0.0000 0.5000 0.0000
I 0.0000 0.0000 0.5000
I 0.5000 0.5000 0.5000